[1]
4
Lattice="3.5760 0.0000 0.0000 0.0000 3.5760 0.0000 0.0000 0.0000 7.4356" Properties=species:S:1:pos:R:3 comment="LaYAu2 (PBEsol, relaxed)" e_form_ev_per_atom=-0.81 vol_a3_per_atom=23.77 crystal_system=tetragonal pbc="T T T"
La 0.0000 0.0000 0.0000
Y 0.0000 0.0000 3.7178
Au 1.7880 1.7880 2.0648
Au 1.7880 1.7880 5.3708

[2]
10
Lattice="8.2664 0.0000 0.0000 0.0000 8.2664 0.0000 0.0000 0.0000 3.9274" Properties=species:S:1:pos:R:3 comment="La2YAu2 (PBEsol, relaxed)" e_form_ev_per_atom=-0.65 vol_a3_per_atom=26.84 crystal_system=tetragonal pbc="T T T"
La 1.3823 2.7509 0.0000
La 2.7509 6.8842 0.0000
La 5.5155 1.3823 0.0000
La 6.8842 5.5155 0.0000
Y 0.0000 0.0000 1.9637
Y 4.1332 4.1332 1.9637
Au 1.0752 5.2084 1.9637
Au 3.0580 1.0752 1.9637
Au 5.2084 7.1912 1.9637
Au 7.1912 3.0580 1.9637

[3]
8
Lattice="4.6659 0.0000 0.0000 0.0000 3.8324 0.0000 0.0000 0.0000 11.0644" Properties=species:S:1:pos:R:3 comment="LaYAu2 (PBEsol, relaxed)" e_form_ev_per_atom=-0.83 vol_a3_per_atom=24.73 crystal_system=orthorhombic pbc="T T T"
La 0.0000 0.0000 0.0000
La 0.0000 1.9162 5.5322
Y 2.3330 0.0000 3.0478
Y 2.3330 1.9162 8.5800
Au 0.0000 0.0000 8.0319
Au 0.0000 1.9162 2.4997
Au 2.3330 0.0000 6.1173
Au 2.3330 1.9162 0.5852

[4]
8
Lattice="12.4722 0.0000 0.0000 0.0000 3.7266 0.0000 -2.4055 0.0000 4.9602" Properties=species:S:1:pos:R:3 comment="La2YAu (PBEsol, relaxed)" e_form_ev_per_atom=-0.36 e_above_lowest_polymorph_mev_per_atom=29 vol_a3_per_atom=28.82 crystal_system=monoclinic pbc="T T T"
La 0.0000 0.0000 0.0000
La 0.9415 0.0000 3.5822
La 6.2361 1.8633 0.0000
La 7.1777 1.8633 3.5822
Y 4.2931 0.0000 2.1182
Y 10.5292 1.8633 2.1182
Au 2.2380 1.8633 1.1999
Au 8.4741 0.0000 1.1999